(1)
The following is a GGA-PBE calculation of a geometry-optimized SrReAu2 structure, from the Alexandria database.

Cell lengths 3.525, 3.525, 6.996 Å; angles 90.00, 90.00, 90.00 degrees
Positions (direct):
Sr 0.000 0.000 0.000
Re 0.500 0.500 0.681
Au 0.000 0.000 0.522
Au 0.500 0.500 0.284

Output
formation energy = 0.53 eV per atom
relative energy among the computed polymorphs = 184 meV per atom
uncorrected energy = -4.65 eV per atom

(2)
The following is a GGA-PBE calculation of a geometry-optimized Sr4ReAu2 structure, from the Alexandria database.

Cell lengths 8.948, 8.948, 8.948 Å; angles 143.60, 143.60, 52.43 degrees
Positions (direct):
Sr 0.000 0.500 0.500
Sr 0.185 0.185 0.000
Sr 0.500 0.000 0.500
Sr 0.815 0.815 0.000
Re 0.000 0.000 0.000
Au 0.380 0.380 0.000
Au 0.620 0.620 0.000

Output
formation energy = 0.28 eV per atom
uncorrected energy = -3.40 eV per atom

(3)
The following is a GGA-PBE calculation of a geometry-optimized SrReAu2 structure, from the Alexandria database.

Cell lengths 2.979, 2.979, 9.020 Å; angles 90.00, 90.00, 90.00 degrees
Positions (direct):
Sr 0.000 0.000 0.000
Re 0.500 0.500 0.720
Au 0.000 0.000 0.515
Au 0.500 0.500 0.276

Output
formation energy = 0.48 eV per atom
relative energy among the computed polymorphs = 140 meV per atom
uncorrected energy = -4.69 eV per atom

(4)
The following is a GGA-PBE calculation of a geometry-optimized Sr2ReAu structure, from the Alexandria database.

Cell lengths 5.188, 5.188, 5.188 Å; angles 60.00, 60.00, 60.00 degrees
Positions (direct):
Sr 0.000 0.000 0.000
Sr 0.250 0.250 0.250
Re 0.750 0.750 0.750
Au 0.500 0.500 0.500

Output
formation energy = 0.76 eV per atom
relative energy among the computed polymorphs = 440 meV per atom
uncorrected energy = -4.02 eV per atom

Repeat the third record exactly.
The following is a GGA-PBE calculation of a geometry-optimized SrReAu2 structure, from the Alexandria database.

Cell lengths 2.979, 2.979, 9.020 Å; angles 90.00, 90.00, 90.00 degrees
Positions (direct):
Sr 0.000 0.000 0.000
Re 0.500 0.500 0.720
Au 0.000 0.000 0.515
Au 0.500 0.500 0.276

Output
formation energy = 0.48 eV per atom
relative energy among the computed polymorphs = 140 meV per atom
uncorrected energy = -4.69 eV per atom

Question: Look up the formation energy of the third one.
Answer: 0.48 eV per atom

Question: Which value of uncorrected energy does entry 1 give?
Answer: -4.65 eV per atom

Question: Among the records above, which one has the lowest formation energy?
Answer: Sr4ReAu2